Compound: ZrBe2Cr
Source: Alexandria via LeMat-Bulk
Functional: GGA-PBE
Structure: relaxed

Geometry as POSCAR:
```
ZrBe2Cr
1.0
2.651 -3.499 0.000
2.651 3.499 0.000
0.000 0.000 2.767
Zr Be Cr
1 2 1
Cartesian
0.000 0.000 0.000 Zr
1.325 1.749 1.384 Be
1.325 -1.749 1.384 Be
2.651 0.000 0.000 Cr
```

Output
The energy above the most stable polymorph in this dataset is 0.182 eV per atom.

=====

Compound: Zr2Be2Cr
Source: Alexandria via LeMat-Bulk
Functional: GGA-PBE
Structure: relaxed

Geometry as POSCAR:
```
Zr2Be2Cr
1.0
6.521 0.000 0.000
0.000 6.521 0.000
0.000 0.000 3.676
Zr Be Cr
4 4 2
Cartesian
1.164 2.096 0.000 Zr
2.096 5.357 0.000 Zr
4.425 1.164 0.000 Zr
5.357 4.425 0.000 Zr
0.767 4.028 1.838 Be
2.493 0.767 1.838 Be
4.028 5.754 1.838 Be
5.754 2.493 1.838 Be
0.000 0.000 1.838 Cr
3.260 3.260 1.838 Cr
```

=====

Compound: ZrBe2Cr2
Source: Alexandria via LeMat-Bulk
Functional: GGA-PBE
Structure: relaxed

Geometry as POSCAR:
```
ZrBe2Cr2
1.0
6.344 0.000 0.000
0.000 6.344 0.000
0.000 0.000 3.072
Zr Be Cr
2 4 4
Cartesian
0.000 0.000 0.000 Zr
3.172 3.172 0.000 Zr
0.716 2.456 0.000 Be
2.456 5.628 0.000 Be
3.888 0.716 0.000 Be
5.628 3.888 0.000 Be
1.096 4.268 1.536 Cr
2.075 1.096 1.536 Cr
4.268 5.247 1.536 Cr
5.247 2.075 1.536 Cr
```

Output
The energy above the most stable polymorph in this dataset is 0.000 eV per atom.

=====

Number 1: volume 51.33 Å³ per cell, formation energy from the elements 0.219 eV/atom. Number 2: volume 156.31 Å³ per cell, formation energy from the elements 0.016 eV/atom. Number 3: volume 123.62 Å³ per cell, formation energy from the elements 0.145 eV/atom.